VASP calculation (PBE-GGA) on LuZrAlIr after structural relaxation.

```
LuZrAlIr
1.0
0.0000 3.3937 3.3937
3.3937 0.0000 3.3937
3.3937 3.3937 0.0000
Lu Zr Al Ir
1 1 1 1
Direct
0.0000 0.0000 0.0000
0.5000 0.5000 0.5000
0.7500 0.7500 0.7500
0.2500 0.2500 0.2500
```

Summary:
E	-6.968	eV/atom
volume	19.54	A^3/atom